No. 1
A plane-wave DFT calculation with PBE-GGA was carried out for a relaxed structure of CsZr3Si.

Lattice parameters (Å, degrees): 5.206 5.206 5.206 90.00 90.00 90.00
Sites, in units of the cell vectors:
Cs1 0.000 0.000 0.000
Zr1 0.000 0.000 0.500
Zr2 0.000 0.500 0.000
Zr3 0.500 0.000 0.000
Si1 0.500 0.500 0.500

## Properties
**Formation energy without anion corrections**: 2154 meV per atom
**Symmetry**: Pm-3m, No. 221
**Energy above the most stable polymorph in this dataset**: 138.89 kJ/mol of atoms
**Total magnetic moment**: 1.47 μB/cell
**Crystal system**: cubic

***

No. 2
A plane-wave DFT calculation with PBE-GGA was carried out for a relaxed structure of Cs2ZrSi.

Lattice parameters (Å, degrees): 6.015 6.015 6.015 60.00 60.00 60.00
Sites, in units of the cell vectors:
Cs1 0.250 0.250 0.250
Cs2 0.750 0.750 0.750
Zr1 0.000 0.000 0.000
Si1 0.500 0.500 0.500

## Properties
**Formation energy without anion corrections**: 1379 meV per atom
**Symmetry**: Fm-3m, No. 225
**Energy above the most stable polymorph in this dataset**: 67.46 kJ/mol of atoms
**Total magnetic moment**: 2.00 μB/cell
**Crystal system**: cubic

***

No. 3
A plane-wave DFT calculation with PBE-GGA was carried out for a relaxed structure of CsSm4.

Lattice parameters (Å, degrees): 5.795 5.795 5.795 90.00 90.00 90.00
Sites, in units of the cell vectors:
Cs1 0.000 0.000 0.000
Sm1 0.000 0.000 0.500
Sm2 0.000 0.500 0.000
Sm3 0.500 0.000 0.000
Sm4 0.500 0.500 0.500

## Properties
**Symmetry**: Pm-3m, No. 221
**ΔH_f (0 K)**: 1.00 eV/atom
**Total magnetic moment**: 0.00 μB/cell
**Crystal system**: cubic

***

No. 4
A plane-wave DFT calculation with PBE-GGA was carried out for a relaxed structure of CsSmSn.

Lattice parameters (Å, degrees): 12.930 12.930 12.930 24.13 24.13 24.13
Sites, in units of the cell vectors:
Cs1 0.113 0.113 0.113
Cs2 0.887 0.887 0.887
Sm1 0.302 0.302 0.302
Sm2 0.698 0.698 0.698
Sn1 0.386 0.386 0.386
Sn2 0.614 0.614 0.614

## Properties
**Symmetry**: R-3m, No. 166
**ΔH_f (0 K)**: -0.22 eV/atom
**Total magnetic moment**: 0.00 μB/cell
**Crystal system**: trigonal

***

No. 5
A plane-wave DFT calculation with PBE-GGA was carried out for a relaxed structure of CsSmSn2.

Lattice parameters (Å, degrees): 4.198 4.198 8.462 90.00 90.00 90.00
Sites, in units of the cell vectors:
Cs1 0.000 0.000 0.000
Sm1 0.000 0.000 0.500
Sn1 0.500 0.500 0.328
Sn2 0.500 0.500 0.672

## Properties
**Symmetry**: P4/mmm, No. 123
**ΔH_f (0 K)**: -0.44 eV/atom
**Total magnetic moment**: 0.00 μB/cell
**Crystal system**: tetragonal

***

No. 6
A plane-wave DFT calculation with PBE-GGA was carried out for a relaxed structure of Cs3Sm3SnTe8.

Lattice parameters (Å, degrees): 9.043 9.043 10.583 115.32 115.32 59.97
Sites, in units of the cell vectors:
Cs1 0.000 0.000 0.000
Cs2 0.000 0.500 0.000
Cs3 0.500 0.000 0.000
Sm1 0.000 0.500 0.500
Sm2 0.500 0.000 0.500
Sm3 0.500 0.500 0.500
Sn1 0.000 0.000 0.500
Te1 0.224 0.224 0.687
Te2 0.224 0.739 0.687
Te3 0.261 0.776 0.313
Te4 0.268 0.268 0.306
Te5 0.732 0.732 0.694
Te6 0.739 0.224 0.687
Te7 0.776 0.261 0.313
Te8 0.776 0.776 0.313

## Properties
**Formation energy without anion corrections**: -1117 meV per atom
**Symmetry**: C2/m, No. 12
**Total magnetic moment**: 0.00 μB/cell
**Crystal system**: monoclinic